(1)
SrCuTc4, relaxed, DFT PBE-GGA; electronic total energy = -7.210 eV/atom
1.0
0.000 3.759 3.759
3.759 0.000 3.759
3.759 3.759 0.000
Sr Cu Tc
1 1 4
Direct
0.000 0.000 0.000 Sr
0.250 0.250 0.250 Cu
0.127 0.624 0.624 Tc
0.624 0.127 0.624 Tc
0.624 0.624 0.127 Tc
0.624 0.624 0.624 Tc



(2)
Sr2CuTc, relaxed, DFT PBE-GGA; electronic total energy = -3.730 eV/atom; E above lowest polymorph = 286 meV per atom
1.0
0.000 3.769 3.769
3.769 0.000 3.769
3.769 3.769 0.000
Sr Cu Tc
2 1 1
Direct
0.250 0.250 0.250 Sr
0.750 0.750 0.750 Sr
0.000 0.000 0.000 Cu
0.500 0.500 0.500 Tc



(3)
Sr2CuTc, relaxed, DFT PBE-GGA; electronic total energy = -3.938 eV/atom; E above lowest polymorph = 78 meV per atom
1.0
3.514 0.000 0.000
0.000 3.514 0.000
0.000 0.000 8.801
Sr Cu Tc
2 1 1
Direct
0.000 0.000 0.000 Sr
0.500 0.500 0.421 Sr
0.500 0.500 0.759 Cu
0.000 0.000 0.671 Tc



(4)
Sr3CuTc, relaxed, DFT PBE-GGA; electronic total energy = -3.159 eV/atom; E above lowest polymorph = 0 meV per atom
1.0
5.660 0.000 0.000
0.000 5.660 0.000
0.000 0.000 5.660
Sr Cu Tc
3 1 1
Direct
0.000 0.000 0.500 Sr
0.000 0.500 0.000 Sr
0.500 0.000 0.000 Sr
0.500 0.500 0.500 Cu
0.000 0.000 0.000 Tc



(5)
SrCuTc3, relaxed, DFT PBE-GGA; electronic total energy = -4.277 eV/atom; E above lowest polymorph = 1608 meV per atom
1.0
4.769 0.000 0.000
0.000 4.769 0.000
0.000 0.000 4.769
Sr Cu Tc
1 1 3
Direct
0.000 0.000 0.000 Sr
0.500 0.500 0.500 Cu
0.000 0.000 0.500 Tc
0.000 0.500 0.000 Tc
0.500 0.000 0.000 Tc



(6)
Sr2CuTc, relaxed, DFT PBE-GGA; electronic total energy = -3.524 eV/atom; E above lowest polymorph = 492 meV per atom
1.0
-4.115 4.115 3.178
4.115 -4.115 3.178
4.115 4.115 -3.178
Sr Cu Tc
4 2 2
Direct
0.110 0.625 0.984 Sr
0.375 0.360 0.484 Sr
0.640 0.125 0.016 Sr
0.875 0.890 0.516 Sr
0.000 0.000 0.000 Cu
0.750 0.250 0.500 Cu
0.250 0.750 0.500 Tc
0.500 0.500 0.000 Tc



(7)
Sr2CuTc, relaxed, DFT PBE-GGA; electronic total energy = -3.835 eV/atom; E above lowest polymorph = 181 meV per atom
1.0
3.589 0.000 0.000
0.000 3.589 0.000
0.000 0.000 8.159
Sr Cu Tc
2 1 1
Direct
0.000 0.000 0.249 Sr
0.000 0.000 0.751 Sr
0.500 0.500 0.500 Cu
0.500 0.500 0.000 Tc



(8)
Sr2CuTc, relaxed, DFT PBE-GGA; electronic total energy = -3.654 eV/atom; E above lowest polymorph = 362 meV per atom
1.0
-2.256 2.256 5.016
2.256 -2.256 5.016
2.256 2.256 -5.016
Sr Cu Tc
2 1 1
Direct
0.000 0.000 0.000 Sr
0.750 0.250 0.500 Sr
0.500 0.500 0.000 Cu
0.250 0.750 0.500 Tc



no.,DOS at the Fermi energy (states/eV/cell),V (Å³/cell),calculated formation energy (kcal/mol of atoms)
1,7.45,106.2,15.30
2,13.96,107.1,16.75
3,5.80,108.7,11.95
4,1.03,181.4,17.11
5,5.92,108.5,71.44
6,10.26,215.2,21.51
7,3.03,105.1,14.32
8,5.41,102.1,18.50